[1]
A plane-wave DFT calculation with GGA-PBE was carried out for a relaxed structure of Sb2PdCl8.

Unit cell a=6.7001 b=6.7001 c=10.7674 alpha=102.64 beta=102.64 gamma=55.84
Positions (direct):
Sb 0.1925 0.1925 0.3286
Sb 0.8075 0.8075 0.6714
Pd 0.0000 0.0000 0.0000
Cl 0.1282 0.6313 0.8746
Cl 0.2765 0.2765 0.5901
Cl 0.3687 0.8718 0.1254
Cl 0.3845 0.3845 0.3070
Cl 0.6155 0.6155 0.6930
Cl 0.6313 0.1282 0.8746
Cl 0.7235 0.7235 0.4099
Cl 0.8718 0.3687 0.1254

Output
Crystal system: monoclinic
Volume: 35.23 Å³/atom
ΔE_f (raw): -0.67 eV/atom
Uncorrected energy: -0.2378 Ry/atom
Symmetry: No. 12

[2]
A plane-wave DFT calculation with GGA-PBE was carried out for a relaxed structure of Sb3PdCl.

Unit cell a=5.2678 b=5.2678 c=5.2678 alpha=90.00 beta=90.00 gamma=90.00
Positions (direct):
Sb 0.0000 0.0000 0.5000
Sb 0.0000 0.5000 0.0000
Sb 0.5000 0.0000 0.0000
Pd 0.0000 0.0000 0.0000
Cl 0.5000 0.5000 0.5000

Output
Crystal system: cubic
Volume: 29.24 Å³/atom
ΔE_f (raw): 0.32 eV/atom
Uncorrected energy: -0.2617 Ry/atom
Symmetry: No. 221
Distance to the lowest polymorph of the same formula: 0 meV per atom

[3]
A plane-wave DFT calculation with GGA-PBE was carried out for a relaxed structure of SbPd3Cl.

Unit cell a=5.0011 b=5.0011 c=5.0011 alpha=90.00 beta=90.00 gamma=90.00
Positions (direct):
Sb 0.0000 0.0000 0.0000
Pd 0.0000 0.0000 0.5000
Pd 0.0000 0.5000 0.0000
Pd 0.5000 0.0000 0.0000
Cl 0.5000 0.5000 0.5000

Output
Crystal system: cubic
Volume: 25.02 Å³/atom
ΔE_f (raw): 0.43 eV/atom
Uncorrected energy: -0.2852 Ry/atom
Symmetry: No. 221
Distance to the lowest polymorph of the same formula: 80 meV per atom

[4]
A plane-wave DFT calculation with GGA-PBE was carried out for a relaxed structure of SbPd2Cl6.

Unit cell a=9.4127 b=9.4127 c=6.6507 alpha=100.42 beta=100.42 gamma=90.89
Positions (direct):
Sb 0.1068 0.8932 0.7500
Sb 0.8932 0.1068 0.2500
Pd 0.1307 0.2955 0.8541
Pd 0.2955 0.1307 0.3541
Pd 0.7045 0.8693 0.6459
Pd 0.8693 0.7045 0.1459
Cl 0.0493 0.6879 0.9364
Cl 0.0536 0.6871 0.4336
Cl 0.3084 0.3124 0.6512
Cl 0.3124 0.3084 0.1512
Cl 0.3121 0.9507 0.5636
Cl 0.3129 0.9464 0.0664
Cl 0.6871 0.0536 0.9336
Cl 0.6879 0.0493 0.4364
Cl 0.6876 0.6916 0.8488
Cl 0.6916 0.6876 0.3488
Cl 0.9464 0.3129 0.5664
Cl 0.9507 0.3121 0.0636

Output
Crystal system: monoclinic
Volume: 31.63 Å³/atom
ΔE_f (raw): -0.48 eV/atom
Uncorrected energy: -0.2442 Ry/atom
Symmetry: No. 15

[5]
A plane-wave DFT calculation with GGA-PBE was carried out for a relaxed structure of SbPd3Cl.

Unit cell a=4.6559 b=4.6559 c=4.6559 alpha=90.00 beta=90.00 gamma=90.00
Positions (direct):
Sb 0.0000 0.0000 0.0000
Pd 0.0000 0.5000 0.5000
Pd 0.5000 0.0000 0.5000
Pd 0.5000 0.5000 0.0000
Cl 0.5000 0.5000 0.5000

Output
Crystal system: cubic
Volume: 20.19 Å³/atom
ΔE_f (raw): 0.35 eV/atom
Uncorrected energy: -0.2911 Ry/atom
Symmetry: No. 221
Distance to the lowest polymorph of the same formula: 0 meV per atom

[6]
A plane-wave DFT calculation with GGA-PBE was carried out for a relaxed structure of Sb3PdCl.

Unit cell a=5.2319 b=5.2319 c=5.2319 alpha=90.00 beta=90.00 gamma=90.00
Positions (direct):
Sb 0.0000 0.0000 0.5000
Sb 0.0000 0.5000 0.0000
Sb 0.5000 0.0000 0.0000
Pd 0.5000 0.5000 0.5000
Cl 0.0000 0.0000 0.0000

Output
Crystal system: cubic
Volume: 28.64 Å³/atom
ΔE_f (raw): 0.95 eV/atom
Uncorrected energy: -0.2157 Ry/atom
Symmetry: No. 221
Distance to the lowest polymorph of the same formula: 625 meV per atom

[7]
A plane-wave DFT calculation with GGA-PBE was carried out for a relaxed structure of SiSbPd2Cl.

Unit cell a=4.6246 b=4.6246 c=4.8736 alpha=90.00 beta=90.00 gamma=90.00
Positions (direct):
Si 0.0000 0.0000 0.0000
Sb 0.5000 0.5000 0.0000
Pd 0.0000 0.5000 0.5000
Pd 0.5000 0.0000 0.5000
Cl 0.0000 0.0000 0.5000

Output
Crystal system: tetragonal
Volume: 20.85 Å³/atom
ΔE_f (raw): 0.55 eV/atom
Uncorrected energy: -0.2800 Ry/atom
Symmetry: No. 123

[8]
A plane-wave DFT calculation with GGA-PBE was carried out for a relaxed structure of Sb2TePdCl.

Unit cell a=5.2112 b=5.2112 c=5.4497 alpha=90.00 beta=90.00 gamma=90.00
Positions (direct):
Sb 0.0000 0.5000 0.0000
Sb 0.5000 0.0000 0.0000
Te 0.0000 0.0000 0.5000
Pd 0.5000 0.5000 0.5000
Cl 0.0000 0.0000 0.0000

Output
Crystal system: tetragonal
Volume: 29.60 Å³/atom
ΔE_f (raw): 0.95 eV/atom
Uncorrected energy: -0.2013 Ry/atom
Symmetry: No. 123
Distance to the lowest polymorph of the same formula: 660 meV per atom

[9]
A plane-wave DFT calculation with GGA-PBE was carried out for a relaxed structure of Sb2TePdCl.

Unit cell a=5.2897 b=5.2897 c=5.2755 alpha=90.00 beta=90.00 gamma=90.00
Positions (direct):
Sb 0.0000 0.5000 0.0000
Sb 0.5000 0.0000 0.0000
Te 0.0000 0.0000 0.5000
Pd 0.0000 0.0000 0.0000
Cl 0.5000 0.5000 0.5000

Output
Crystal system: tetragonal
Volume: 29.52 Å³/atom
ΔE_f (raw): 0.29 eV/atom
Uncorrected energy: -0.2498 Ry/atom
Symmetry: No. 123
Distance to the lowest polymorph of the same formula: 0 meV per atom

[10]
A plane-wave DFT calculation with GGA-PBE was carried out for a relaxed structure of TlSbPdCl6.

Unit cell a=6.8136 b=6.8136 c=7.0621 alpha=90.00 beta=90.00 gamma=120.00
Positions (direct):
Tl 0.0000 0.0000 0.0000
Sb 0.3333 0.6667 0.5000
Pd 0.6667 0.3333 0.5000
Cl 0.3753 0.0151 0.2907
Cl 0.3753 0.3602 0.7093
Cl 0.6398 0.0151 0.7093
Cl 0.6398 0.6247 0.2907
Cl 0.9849 0.3602 0.2907
Cl 0.9849 0.6247 0.7093

Output
Crystal system: trigonal
Volume: 31.55 Å³/atom
ΔE_f (raw): -0.71 eV/atom
Uncorrected energy: -0.2382 Ry/atom
Symmetry: No. 149

[11]
A plane-wave DFT calculation with GGA-PBE was carried out for a relaxed structure of SbPd2WCl.

Unit cell a=4.9075 b=4.9075 c=5.2736 alpha=90.00 beta=90.00 gamma=90.00
Positions (direct):
Sb 0.0000 0.0000 0.0000
Pd 0.0000 0.5000 0.5000
Pd 0.5000 0.0000 0.5000
W 0.0000 0.0000 0.5000
Cl 0.5000 0.5000 0.0000

Output
Crystal system: tetragonal
Volume: 25.40 Å³/atom
ΔE_f (raw): 0.99 eV/atom
Uncorrected energy: -0.3584 Ry/atom
Symmetry: No. 123

[12]
A plane-wave DFT calculation with GGA-PBE was carried out for a relaxed structure of ZrSbPdCl2.

Unit cell a=4.8319 b=4.8319 c=5.5560 alpha=90.00 beta=90.00 gamma=90.00
Positions (direct):
Zr 0.0000 0.0000 0.0000
Sb 0.5000 0.5000 0.5000
Pd 0.0000 0.0000 0.5000
Cl 0.0000 0.5000 0.0000
Cl 0.5000 0.0000 0.0000

Output
Crystal system: tetragonal
Volume: 25.94 Å³/atom
ΔE_f (raw): -0.29 eV/atom
Uncorrected energy: -0.3381 Ry/atom
Symmetry: No. 123

[13]
A plane-wave DFT calculation with GGA-PBE was carried out for a relaxed structure of ScPd2Cl.

Unit cell a=4.6490 b=4.6490 c=4.6490 alpha=60.00 beta=60.00 gamma=60.00
Positions (direct):
Sc 0.0000 0.0000 0.0000
Pd 0.2500 0.2500 0.2500
Pd 0.7500 0.7500 0.7500
Cl 0.5000 0.5000 0.5000

Output
Crystal system: cubic
Volume: 17.76 Å³/atom
ΔE_f (raw): -0.32 eV/atom
Uncorrected energy: -0.3646 Ry/atom
Symmetry: No. 225
Distance to the lowest polymorph of the same formula: 123 meV per atom

[14]
A plane-wave DFT calculation with GGA-PBE was carried out for a relaxed structure of ScPd2Cl.

Unit cell a=5.9354 b=5.9354 c=5.9354 alpha=101.63 beta=101.63 gamma=126.65
Positions (direct):
Sc 0.0000 0.0000 0.0000
Sc 0.7500 0.2500 0.5000
Pd 0.1236 0.6250 0.9986
Pd 0.3750 0.3736 0.4986
Pd 0.6264 0.1250 0.0014
Pd 0.8750 0.8764 0.5014
Cl 0.2500 0.7500 0.5000
Cl 0.5000 0.5000 0.0000

Output
Crystal system: tetragonal
Volume: 18.74 Å³/atom
ΔE_f (raw): -0.44 eV/atom
Uncorrected energy: -0.3736 Ry/atom
Symmetry: No. 122
Distance to the lowest polymorph of the same formula: 0 meV per atom

[15]
A plane-wave DFT calculation with GGA-PBE was carried out for a relaxed structure of ScTc2PdCl.

Unit cell a=4.3790 b=4.3790 c=4.5723 alpha=90.00 beta=90.00 gamma=90.00
Positions (direct):
Sc 0.0000 0.0000 0.0000
Tc 0.0000 0.5000 0.5000
Tc 0.5000 0.0000 0.5000
Pd 0.5000 0.5000 0.0000
Cl 0.5000 0.5000 0.5000

Output
Crystal system: tetragonal
Volume: 17.54 Å³/atom
ΔE_f (raw): 0.59 eV/atom
Uncorrected energy: -0.4582 Ry/atom
Symmetry: No. 123

[16]
A plane-wave DFT calculation with GGA-PBE was carried out for a relaxed structure of PdSeCl.

Unit cell a=3.5675 b=5.3592 c=7.6986 alpha=90.00 beta=90.00 gamma=90.00
Positions (direct):
Pd 0.2500 0.2500 0.1342
Pd 0.7500 0.7500 0.8658
Se 0.2500 0.7500 0.0865
Se 0.7500 0.2500 0.9135
Cl 0.2500 0.7500 0.6504
Cl 0.7500 0.2500 0.3496

Output
Crystal system: orthorhombic
Volume: 24.53 Å³/atom
ΔE_f (raw): -0.42 eV/atom
Uncorrected energy: -0.2886 Ry/atom
Symmetry: No. 59

[17]
A plane-wave DFT calculation with GGA-PBE was carried out for a relaxed structure of Pd2SeCl3.

Unit cell a=7.4383 b=7.4383 c=5.9665 alpha=90.00 beta=90.00 gamma=120.00
Positions (direct):
Pd 0.0000 0.0000 0.0000
Pd 0.0000 0.5000 0.0000
Pd 0.5000 0.0000 0.0000
Pd 0.5000 0.5000 0.0000
Se 0.3333 0.6667 0.7853
Se 0.6667 0.3333 0.2147
Cl 0.1643 0.3287 0.2321
Cl 0.1643 0.8357 0.2321
Cl 0.3287 0.1643 0.7679
Cl 0.6713 0.8357 0.2321
Cl 0.8357 0.1643 0.7679
Cl 0.8357 0.6713 0.7679

Output
Crystal system: trigonal
Volume: 23.82 Å³/atom
ΔE_f (raw): -0.25 eV/atom
Uncorrected energy: -0.2560 Ry/atom
Symmetry: No. 164
Distance to the lowest polymorph of the same formula: 138 meV per atom

[18]
A plane-wave DFT calculation with GGA-PBE was carried out for a relaxed structure of Pd3SeCl.

Unit cell a=4.6021 b=4.6021 c=4.6021 alpha=90.00 beta=90.00 gamma=90.00
Positions (direct):
Pd 0.0000 0.0000 0.5000
Pd 0.0000 0.5000 0.0000
Pd 0.5000 0.0000 0.0000
Se 0.5000 0.5000 0.5000
Cl 0.0000 0.0000 0.0000

Output
Crystal system: cubic
Volume: 19.49 Å³/atom
ΔE_f (raw): 0.47 eV/atom
Uncorrected energy: -0.2726 Ry/atom
Symmetry: No. 221
Distance to the lowest polymorph of the same formula: 257 meV per atom

[19]
A plane-wave DFT calculation with GGA-PBE was carried out for a relaxed structure of PdSe6Cl2.

Unit cell a=8.9337 b=8.9337 c=7.1796 alpha=97.51 beta=97.51 gamma=106.81
Positions (direct):
Pd 0.0476 0.9524 0.7500
Pd 0.9524 0.0476 0.2500
Se 0.0268 0.3271 0.4695
Se 0.0844 0.1887 0.9975
Se 0.1759 0.7584 0.0813
Se 0.1887 0.0844 0.4975
Se 0.2416 0.8241 0.4187
Se 0.3271 0.0268 0.9695
Se 0.6729 0.9732 0.0305
Se 0.7584 0.1759 0.5813
Se 0.8113 0.9156 0.5025
Se 0.8241 0.2416 0.9187
Se 0.9156 0.8113 0.0025
Se 0.9732 0.6729 0.5305
Cl 0.2689 0.4637 0.3796
Cl 0.4637 0.2689 0.8796
Cl 0.5363 0.7311 0.1204
Cl 0.7311 0.5363 0.6204

Output
Crystal system: monoclinic
Volume: 29.73 Å³/atom
ΔE_f (raw): -0.12 eV/atom
Uncorrected energy: -0.2521 Ry/atom
Symmetry: No. 15

[20]
A plane-wave DFT calculation with GGA-PBE was carried out for a relaxed structure of PdSeCl.

Unit cell a=3.6624 b=3.6624 c=5.5456 alpha=90.00 beta=90.00 gamma=120.00
Positions (direct):
Pd 0.0000 0.0000 0.0000
Se 0.6667 0.3333 0.2407
Cl 0.3333 0.6667 0.7265

Output
Crystal system: trigonal
Volume: 21.47 Å³/atom
ΔE_f (raw): -0.28 eV/atom
Uncorrected energy: -0.2787 Ry/atom
Symmetry: No. 156

[21]
A plane-wave DFT calculation with GGA-PBE was carried out for a relaxed structure of PdSeCl.

Unit cell a=7.6492 b=7.6492 c=3.4798 alpha=90.26 beta=90.26 gamma=55.17
Positions (direct):
Pd 0.1159 0.1159 0.0024
Pd 0.8841 0.8841 0.9976
Se 0.1374 0.6766 0.4981
Se 0.3234 0.8626 0.5019
Cl 0.6247 0.0751 0.4968
Cl 0.9249 0.3753 0.5032

Output
Crystal system: monoclinic
Volume: 27.85 Å³/atom
ΔE_f (raw): -0.40 eV/atom
Uncorrected energy: -0.2869 Ry/atom
Symmetry: No. 5

[22]
A plane-wave DFT calculation with GGA-PBE was carried out for a relaxed structure of PdSe2Cl2.

Unit cell a=3.8407 b=4.6336 c=7.6149 alpha=78.70 beta=75.52 gamma=90.00
Positions (direct):
Pd 0.0000 0.0000 0.0000
Se 0.4425 0.2809 0.1158
Se 0.5575 0.7191 0.8842
Cl 0.1488 0.2820 0.6986
Cl 0.8512 0.7180 0.3014

Output
Crystal system: triclinic
Volume: 25.70 Å³/atom
ΔE_f (raw): -0.34 eV/atom
Uncorrected energy: -0.2581 Ry/atom
Symmetry: No. 2
Distance to the lowest polymorph of the same formula: 0 meV per atom

[23]
A plane-wave DFT calculation with GGA-PBE was carried out for a relaxed structure of PdSeCl3.

Unit cell a=6.8337 b=7.8869 c=12.3093 alpha=90.00 beta=91.79 gamma=90.00
Positions (direct):
Pd 0.0563 0.1412 0.1149
Pd 0.0563 0.8588 0.6149
Pd 0.9437 0.1412 0.3851
Pd 0.9437 0.8588 0.8851
Se 0.0428 0.4439 0.3363
Se 0.0428 0.5561 0.8363
Se 0.9572 0.4439 0.1637
Se 0.9572 0.5561 0.6637
Cl 0.1246 0.1771 0.5468
Cl 0.1246 0.8229 0.0468
Cl 0.2262 0.0657 0.2816
Cl 0.2262 0.9343 0.7816
Cl 0.3283 0.2480 0.0344
Cl 0.3283 0.7520 0.5344
Cl 0.6717 0.2480 0.4656
Cl 0.6717 0.7520 0.9656
Cl 0.7738 0.0657 0.2184
Cl 0.7738 0.9343 0.7184
Cl 0.8754 0.1771 0.9532
Cl 0.8754 0.8229 0.4532

Output
Crystal system: monoclinic
Volume: 33.16 Å³/atom
ΔE_f (raw): -0.27 eV/atom
Uncorrected energy: -0.2292 Ry/atom
Symmetry: No. 13
Distance to the lowest polymorph of the same formula: 9 meV per atom

[24]
A plane-wave DFT calculation with GGA-PBE was carried out for a relaxed structure of Pd4Se3Cl2.

Unit cell a=8.2786 b=8.2786 c=6.6225 alpha=96.90 beta=96.90 gamma=112.20
Positions (direct):
Pd 0.1289 0.6700 0.9530
Pd 0.1542 0.3813 0.4526
Pd 0.3300 0.8711 0.5470
Pd 0.3813 0.1542 0.9526
Pd 0.6187 0.8458 0.0474
Pd 0.6700 0.1289 0.4530
Pd 0.8458 0.6187 0.5474
Pd 0.8711 0.3300 0.0470
Se 0.0676 0.6095 0.3195
Se 0.3531 0.6469 0.7500
Se 0.3905 0.9324 0.1805
Se 0.6095 0.0676 0.8195
Se 0.6469 0.3531 0.2500
Se 0.9324 0.3905 0.6805
Cl 0.1686 0.2530 0.0938
Cl 0.2530 0.1686 0.5938
Cl 0.7470 0.8314 0.4062
Cl 0.8314 0.7470 0.9062

Output
Crystal system: monoclinic
Volume: 22.80 Å³/atom
ΔE_f (raw): -0.25 eV/atom
Uncorrected energy: -0.3035 Ry/atom
Symmetry: No. 15